1.
Lu2TcOs after structural relaxation. Source: OQMD via LeMat-Bulk, functional PBE.

The space group is F-43m (No. 216) and the conventional cell measures 6.642, 6.642 and 6.642 Å, with angles of 90.00, 90.00 and 90.00 degrees. Symmetry generates all atoms from Lu at (0.000, 0.000, 0.000), Lu at (0.250, 0.250, 0.250), Tc at (0.000, 0.000, 0.500) and Os at (0.250, 0.250, 0.750).

The formation energy is 134 meV/atom. The calculation puts the magnetization at 0.014 Bohr magnetons per cell. The final energy comes out at -120.39 eV for the cell shown.

=====

2.
Gd2DyTl3AgIr2 after structural relaxation. Source: OQMD via LeMat-Bulk, functional PBE.

The space group is Amm2 (No. 38) and the conventional cell measures 3.827, 13.584 and 7.869 Å, with angles of 90.00, 90.00 and 90.00 degrees. Symmetry generates all atoms from Gd at (0.000, 0.206, 0.000), Dy at (0.000, 0.000, 0.382), Tl at (0.500, 0.000, 0.066), Tl at (0.500, 0.135, 0.659), Ag at (0.000, 0.000, 0.794) and Ir at (0.500, 0.166, 0.295).

The calculation puts the magnetization at 0.029 Bohr magnetons per cell. The final energy comes out at -90.91 eV for the cell shown.

=====

Which value of final energy does entry 2 give?
-90.91 eV for the cell shown